1.
# GGA-PBE K2SbPbBr8, optimized geometry
# **Total magnetization**: 0.001 Bohr magnetons per cell
# **Total DFT energy (no corrections)**: -34.9 eV per cell
# **E_form (uncorrected)**: -11.45 eV/f.u.
data_K2SbPbBr8
_space_group_name_H-M_alt 'P -1'
_space_group_IT_number 2
_space_group_name_Hall '-P 1'
_cell_length_a 6.964
_cell_length_b 7.618
_cell_length_c 9.132
_cell_angle_alpha 89.96
_cell_angle_beta 89.94
_cell_angle_gamma 83.12
loop_
_atom_site_label
_atom_site_type_symbol
_atom_site_fract_x
_atom_site_fract_y
_atom_site_fract_z
K1 K 0.001 0.499 0.247
Sb1 Sb 0.500 0.000 0.000
Pb1 Pb 0.500 0.000 0.500
Br1 Br 0.131 0.228 0.501
Br2 Br 0.151 0.198 0.000
Br3 Br 0.376 0.791 0.221
Br4 Br 0.377 0.790 0.780

***

2.
# GGA-PBE MgSc5Bi4, optimized geometry
# **Total magnetization**: 1.874 Bohr magnetons per cell
# **Total DFT energy (no corrections)**: -104.3 eV per cell
data_MgSc5Bi4
_space_group_name_H-M_alt 'C 1 2/m 1'
_space_group_IT_number 12
_space_group_name_Hall '-C 2y'
_cell_length_a 14.375
_cell_length_b 4.859
_cell_length_c 7.991
_cell_angle_alpha 90.00
_cell_angle_beta 91.32
_cell_angle_gamma 90.00
loop_
_atom_site_label
_atom_site_type_symbol
_atom_site_fract_x
_atom_site_fract_y
_atom_site_fract_z
Mg1 Mg 0.000 0.000 0.000
Sc1 Sc 0.000 0.000 0.500
Sc2 Sc 0.144 0.500 0.964
Sc3 Sc 0.163 0.500 0.544
Bi1 Bi 0.028 0.500 0.266
Bi2 Bi 0.199 0.000 0.760

***

3.
# GGA-PBE KZr3Pt, optimized geometry
# **Total magnetization**: 0.000 Bohr magnetons per cell
# **Total DFT energy (no corrections)**: -30.8 eV per cell
data_KZr3Pt
_space_group_name_H-M_alt 'P m -3 m'
_space_group_IT_number 221
_space_group_name_Hall '-P 4 2 3'
_cell_length_a 5.265
_cell_length_b 5.265
_cell_length_c 5.265
_cell_angle_alpha 90.00
_cell_angle_beta 90.00
_cell_angle_gamma 90.00
loop_
_atom_site_label
_atom_site_type_symbol
_atom_site_fract_x
_atom_site_fract_y
_atom_site_fract_z
K1 K 0.000 0.000 0.000
Zr1 Zr 0.000 0.500 0.500
Pt1 Pt 0.500 0.500 0.500

***

4.
# GGA-PBE InAg2P, optimized geometry
# **Total magnetization**: 0.000 Bohr magnetons per cell
# **Total DFT energy (no corrections)**: -26.0 eV per cell
data_InAg2P
_space_group_name_H-M_alt 'C 1 2/m 1'
_space_group_IT_number 12
_space_group_name_Hall '-C 2y'
_cell_length_a 9.152
_cell_length_b 3.086
_cell_length_c 5.543
_cell_angle_alpha 90.00
_cell_angle_beta 102.38
_cell_angle_gamma 90.00
loop_
_atom_site_label
_atom_site_type_symbol
_atom_site_fract_x
_atom_site_fract_y
_atom_site_fract_z
In1 In 0.000 0.000 0.000
Ag1 Ag 0.242 0.000 0.736
P1 P 0.000 0.500 0.500

***

5.
# GGA-PBE AcPrAlZn, optimized geometry
# **Total magnetization**: 0.000 Bohr magnetons per cell
# **Total DFT energy (no corrections)**: -15.0 eV per cell
data_AcPrAlZn
_space_group_name_H-M_alt 'P 4 m m'
_space_group_IT_number 99
_space_group_name_Hall 'P 4 -2'
_cell_length_a 3.815
_cell_length_b 3.815
_cell_length_c 7.737
_cell_angle_alpha 90.00
_cell_angle_beta 90.00
_cell_angle_gamma 90.00
loop_
_atom_site_label
_atom_site_type_symbol
_atom_site_fract_x
_atom_site_fract_y
_atom_site_fract_z
Ac1 Ac 0.000 0.000 0.000
Pr1 Pr 0.000 0.000 0.505
Al1 Al 0.500 0.500 0.270
Zn1 Zn 0.500 0.500 0.727

***

6.
# GGA-PBE YI3O, optimized geometry
# **Total magnetization**: 0.000 Bohr magnetons per cell
# **Total DFT energy (no corrections)**: -16.3 eV per cell
# **E_form (uncorrected)**: -0.23 eV/f.u.
data_YI3O
_space_group_name_H-M_alt 'P m -3 m'
_space_group_IT_number 221
_space_group_name_Hall '-P 4 2 3'
_cell_length_a 5.151
_cell_length_b 5.151
_cell_length_c 5.151
_cell_angle_alpha 90.00
_cell_angle_beta 90.00
_cell_angle_gamma 90.00
loop_
_atom_site_label
_atom_site_type_symbol
_atom_site_fract_x
_atom_site_fract_y
_atom_site_fract_z
Y1 Y 0.000 0.000 0.000
I1 I 0.000 0.500 0.500
O1 O 0.500 0.500 0.500

***

7.
# GGA-PBE TbErInPb, optimized geometry
# **Total magnetization**: 0.000 Bohr magnetons per cell
# **Total DFT energy (no corrections)**: -34.8 eV per cell
data_TbErInPb
_space_group_name_H-M_alt 'I -4 m 2'
_space_group_IT_number 119
_space_group_name_Hall 'I -4 -2'
_cell_length_a 4.968
_cell_length_b 4.968
_cell_length_c 8.835
_cell_angle_alpha 90.00
_cell_angle_beta 90.00
_cell_angle_gamma 90.00
loop_
_atom_site_label
_atom_site_type_symbol
_atom_site_fract_x
_atom_site_fract_y
_atom_site_fract_z
Tb1 Tb 0.000 0.000 0.000
Er1 Er 0.000 0.000 0.500
In1 In 0.000 0.500 0.250
Pb1 Pb 0.000 0.500 0.750

***

8.
# GGA-PBE BaTm2Pb2, optimized geometry
# **Total magnetization**: 0.000 Bohr magnetons per cell
# **Total DFT energy (no corrections)**: -39.4 eV per cell
data_BaTm2Pb2
_space_group_name_H-M_alt 'P -1'
_space_group_IT_number 2
_space_group_name_Hall '-P 1'
_cell_length_a 7.916
_cell_length_b 7.932
_cell_length_c 8.352
_cell_angle_alpha 112.52
_cell_angle_beta 112.21
_cell_angle_gamma 101.40
loop_
_atom_site_label
_atom_site_type_symbol
_atom_site_fract_x
_atom_site_fract_y
_atom_site_fract_z
Ba1 Ba 0.125 0.375 0.252
Tm1 Tm 0.244 0.994 0.487
Tm2 Tm 0.494 0.744 0.989
Pb1 Pb 0.166 0.334 0.750
Pb2 Pb 0.420 0.087 0.253

***

9.
# GGA-PBE Zn2CdHg2, optimized geometry
# **Total magnetization**: 0.000 Bohr magnetons per cell
# **Total DFT energy (no corrections)**: -6.7 eV per cell
data_Zn2CdHg2
_space_group_name_H-M_alt 'P 4/m b m'
_space_group_IT_number 127
_space_group_name_Hall '-P 4 2ab'
_cell_length_a 7.818
_cell_length_b 7.818
_cell_length_c 3.608
_cell_angle_alpha 90.00
_cell_angle_beta 90.00
_cell_angle_gamma 90.00
loop_
_atom_site_label
_atom_site_type_symbol
_atom_site_fract_x
_atom_site_fract_y
_atom_site_fract_z
Zn1 Zn 0.130 0.370 0.000
Cd1 Cd 0.000 0.000 0.500
Hg1 Hg 0.167 0.667 0.500

***

10.
# GGA-PBE Tb6Fe2Sb, optimized geometry
# **Total magnetization**: 0.876 Bohr magnetons per cell
# **Total DFT energy (no corrections)**: -204.6 eV per cell
# **E_form (uncorrected)**: -2.31 eV/f.u.
data_Tb6Fe2Sb
_space_group_name_H-M_alt 'I m m m'
_space_group_IT_number 71
_space_group_name_Hall '-I 2 2'
_cell_length_a 9.579
_cell_length_b 9.628
_cell_length_c 10.062
_cell_angle_alpha 90.00
_cell_angle_beta 90.00
_cell_angle_gamma 90.00
loop_
_atom_site_label
_atom_site_type_symbol
_atom_site_fract_x
_atom_site_fract_y
_atom_site_fract_z
Tb1 Tb 0.000 0.215 0.232
Tb2 Tb 0.197 0.500 0.185
Tb3 Tb 0.216 0.314 0.500
Fe1 Fe 0.000 0.387 0.000
Fe2 Fe 0.000 0.500 0.393
Sb1 Sb 0.000 0.000 0.000
Sb2 Sb 0.000 0.000 0.500

***

Question: Among the records above, which one has the highest total DFT energy (no corrections)?
Answer: Zn2CdHg2